First-principles (PBE) data for a relaxed structure of MnRu2PtN, as listed in Alexandria via LeMat-Bulk.

Calculated values
The value obtained for the magnetic moment is 3.38 μB/f.u. The calculation puts the density of states at the Fermi level at 4.32 states/eV/f.u.

```
MnRu2PtN
1.0
4.015 0.000 0.000
0.000 4.015 0.000
0.000 0.000 3.984
Mn N Ru Pt
1 1 2 1
Cartesian
0.000 0.000 1.992
0.000 0.000 0.000
2.008 0.000 0.000
0.000 2.008 0.000
2.008 2.008 1.992
```

First-principles (PBE) data for a relaxed structure of Ca2Zn5Cu12, as listed in Alexandria via LeMat-Bulk.

Calculated values
As for the formation energy: -2.3 eV/f.u. The value obtained for the magnetic moment is 0.00 μB/f.u. The calculation puts the density of states at the Fermi level at 3.02 states/eV/f.u.

```
Ca2Zn5Cu12
1.0
6.547 0.112 0.673
0.619 6.518 0.673
0.122 0.112 6.580
Cu Zn Ca
12 5 2
Cartesian
4.616 0.112 2.448
2.400 4.593 0.673
1.487 4.362 4.855
4.464 1.145 4.855
4.714 4.362 1.889
4.765 2.037 0.673
2.823 5.598 3.070
0.271 2.037 4.805
0.469 4.593 2.448
2.573 2.381 6.037
2.052 0.112 4.805
5.800 2.381 3.070
6.558 6.069 7.133
3.273 0.056 0.336
0.061 0.056 3.290
0.729 0.675 0.793
0.309 3.259 0.336
4.739 4.385 5.154
2.548 2.358 2.772
```

First-principles (PBE) data for a relaxed structure of Y2Ga2Au3, as listed in Alexandria via LeMat-Bulk.

Calculated values
As for the formation energy: -4.8 eV/f.u. The value obtained for the magnetic moment is 0.00 μB/f.u. The calculation puts the density of states at the Fermi level at 3.77 states/eV/f.u. The calculation puts the distance to the lowest polymorph of the same formula at 21 meV per atom.

```
Y2Ga2Au3
1.0
-1.024 3.663 -1.718
-2.340 -3.434 -5.929
-8.531 -2.503 4.817
Au Ga Y
6 4 4
Cartesian
-9.170 -2.491 0.152
-2.725 0.217 -2.983
-5.802 -2.876 -2.676
-6.093 0.602 -0.155
-1.814 1.555 -0.673
-10.081 -3.829 -2.157
-6.648 -1.951 -0.199
-5.726 -0.597 2.138
-5.247 -0.323 -2.631
-6.169 -1.677 -4.969
-8.498 -1.207 -2.579
-3.397 -1.067 -0.252
-2.744 -2.649 -4.014
-9.151 0.375 1.184
```

First-principles (PBE) data for a relaxed structure of NdAgGe2, as listed in Alexandria via LeMat-Bulk.

Calculated values
As for the formation energy: -1.5 eV/f.u. The value obtained for the magnetic moment is 0.00 μB/f.u. The calculation puts the density of states at the Fermi level at 0.98 states/eV/f.u.

```
NdAgGe2
1.0
-1.835 3.758 -0.726
-4.044 -1.850 0.641
0.251 0.969 4.380
Ge Ag Nd
2 1 1
Cartesian
-2.022 -0.925 0.321
0.126 0.484 2.190
-0.917 1.879 -0.363
-2.814 1.438 2.148
```

First-principles (PBE) data for a relaxed structure of SrAl2Ag, as listed in Alexandria via LeMat-Bulk.

Calculated values
As for the formation energy: -0.8 eV/f.u. The value obtained for the magnetic moment is 0.00 μB/f.u. The calculation puts the density of states at the Fermi level at 2.88 states/eV/f.u.

```
SrAl2Ag
1.0
-4.259 0.672 -1.178
-2.740 -3.486 -0.566
-3.854 -0.664 5.056
Sr Ag Al
1 1 2
Cartesian
-2.713 -0.870 0.828
-8.140 -2.609 2.484
-3.640 -0.702 4.263
-5.641 -1.701 2.449
```

First-principles (PBE) data for a relaxed structure of CaAl2Re, as listed in Alexandria via LeMat-Bulk.

Calculated values
As for the formation energy: 0.5 eV/f.u. The value obtained for the magnetic moment is 0.00 μB/f.u. The calculation puts the density of states at the Fermi level at 2.17 states/eV/f.u. The calculation puts the distance to the lowest polymorph of the same formula at 220 meV per atom.

```
CaAl2Re
1.0
-3.939 0.448 -1.298
-0.480 -2.757 0.505
-2.150 0.117 6.567
Re Al Ca
1 2 1
Cartesian
-4.168 -1.778 5.333
-2.431 0.002 0.675
-2.136 -0.485 6.316
-1.300 -1.134 3.554
```

First-principles (PBE) data for a relaxed structure of K2Na16Cd, as listed in Alexandria via LeMat-Bulk.

Calculated values
As for the formation energy: 0.4 eV/f.u. The value obtained for the magnetic moment is 0.00 μB/f.u. The calculation puts the density of states at the Fermi level at 7.32 states/eV/f.u.

```
K2Na16Cd
1.0
9.122 0.113 1.154
1.031 9.064 1.154
0.125 0.113 9.193
Na K Cd
16 2 1
Cartesian
6.664 6.023 2.770
3.673 3.320 8.628
9.721 4.887 10.878
8.162 3.320 4.617
7.555 9.162 4.621
9.493 2.803 8.025
3.485 6.593 10.332
2.006 6.023 6.932
4.125 7.786 4.617
9.877 6.593 4.621
6.911 2.803 10.332
3.745 9.162 8.025
5.841 9.179 10.878
10.155 9.179 7.023
0.917 0.829 1.026
6.194 1.389 6.932
3.479 3.144 3.893
6.885 6.223 7.705
9.299 8.405 10.407
```

First-principles (PBE) data for a relaxed structure of LaAlSi2, as listed in Alexandria via LeMat-Bulk.

Calculated values
The value obtained for the magnetic moment is 0.00 μB/f.u. The calculation puts the density of states at the Fermi level at 2.03 states/eV/f.u.

```
LaAlSi2
1.0
-2.485 6.869 -1.870
-2.433 -3.310 1.741
-1.645 2.655 2.729
Si Al La
2 1 1
Cartesian
0.000 0.000 0.000
-2.065 4.762 0.429
-2.039 -0.327 2.235
-2.459 1.780 -0.065
```

Q: Which E_tot values were calculated for the entries above? A: -8.3982; -3.2566; -4.8024; -4.5986; -3.2082; -5.3615; -1.2556; -5.1215, in eV per atom.